# 1
The following is a GGA-PBE calculation of crystalline Sm3Cd3Pd2Au at its relaxed geometry, from OQMD via LeMat-Bulk.

Results
- energy of formation (eV/f.u.) = -6.09
- raw total energy (eV/cell) = -36.53
- total moment (μB/f.u.) = 0.01
- symmetry = P-62m

a b c (Å): 7.757 7.757 3.991
angles (deg): 90.00 90.00 120.00
Sites, in units of the cell vectors:
Au 0.000 0.000 0.500
Pd 0.333 0.667 0.000
Pd 0.667 0.333 0.000
Sm 0.592 0.592 0.500
Sm 0.000 0.408 0.500
Sm 0.408 0.000 0.500
Cd 0.262 0.262 0.000
Cd 0.000 0.738 0.000
Cd 0.738 0.000 0.000

# 2
The following is a GGA-PBE calculation of crystalline TaCdPdAu at its relaxed geometry, from OQMD via LeMat-Bulk.

Results
- energy of formation (eV/f.u.) = 0.32
- raw total energy (eV/cell) = -20.87
- total moment (μB/f.u.) = 0.00
- symmetry = F-43m
- ΔE to the lowest computed polymorph (meV per atom) = 160

a b c (Å): 4.626 4.626 4.626
angles (deg): 60.00 60.00 60.00
Sites, in units of the cell vectors:
Au 0.750 0.750 0.750
Ta 0.250 0.250 0.250
Cd 0.000 0.000 0.000
Pd 0.500 0.500 0.500

# 3
The following is a GGA-PBE calculation of crystalline TaCdPdAu at its relaxed geometry, from OQMD via LeMat-Bulk.

Results
- energy of formation (eV/f.u.) = 0.22
- raw total energy (eV/cell) = -20.97
- total moment (μB/f.u.) = 0.00
- symmetry = F-43m
- ΔE to the lowest computed polymorph (meV per atom) = 137

a b c (Å): 4.623 4.623 4.623
angles (deg): 60.00 60.00 60.00
Sites, in units of the cell vectors:
Pd 0.500 0.500 0.500
Ta 0.000 0.000 0.000
Au 0.750 0.750 0.750
Cd 0.250 0.250 0.250

# 4
The following is a GGA-PBE calculation of crystalline TaCdPdAu at its relaxed geometry, from OQMD via LeMat-Bulk.

Results
- energy of formation (eV/f.u.) = -0.33
- raw total energy (eV/cell) = -21.52
- total moment (μB/f.u.) = 0.00
- symmetry = F-43m
- ΔE to the lowest computed polymorph (meV per atom) = 0

a b c (Å): 4.640 4.640 4.640
angles (deg): 60.00 60.00 60.00
Sites, in units of the cell vectors:
Cd 0.500 0.500 0.500
Au 0.750 0.750 0.750
Ta 0.000 0.000 0.000
Pd 0.250 0.250 0.250

# 5
The following is a GGA-PBE calculation of crystalline PmCd2Au4 at its relaxed geometry, from OQMD via LeMat-Bulk.

Results
- energy of formation (eV/f.u.) = -3.49
- raw total energy (eV/cell) = -23.09
- total moment (μB/f.u.) = 0.00
- symmetry = I4/mmm

a b c (Å): 5.827 5.827 5.827
angles (deg): 103.25 103.25 122.79
Sites, in units of the cell vectors:
Cd 0.750 0.250 0.500
Cd 0.250 0.750 0.500
Au 0.304 0.304 0.608
Au 0.304 0.696 0.000
Au 0.696 0.696 0.392
Au 0.696 0.304 0.000
Pm 0.000 0.000 0.000

# 6
The following is a GGA-PBE calculation of crystalline PrCd2Au2 at its relaxed geometry, from OQMD via LeMat-Bulk.

Results
- energy of formation (eV/f.u.) = -2.55
- raw total energy (eV/cell) = -15.65
- total moment (μB/f.u.) = 0.00
- symmetry = I4/mmm
- ΔE to the lowest computed polymorph (meV per atom) = 0

a b c (Å): 7.192 7.192 7.192
angles (deg): 145.79 145.79 49.16
Sites, in units of the cell vectors:
Cd 0.750 0.250 0.500
Cd 0.250 0.750 0.500
Pr 0.000 0.000 0.000
Au 0.397 0.397 0.000
Au 0.603 0.603 0.000

# 7
The following is a GGA-PBE calculation of crystalline PrCdAu at its relaxed geometry, from OQMD via LeMat-Bulk.

Results
- energy of formation (eV/f.u.) = -0.51
- raw total energy (eV/cell) = -9.45
- total moment (μB/f.u.) = 0.01
- symmetry = F-43m

a b c (Å): 5.035 5.035 5.035
angles (deg): 60.00 60.00 60.00
Sites, in units of the cell vectors:
Au 0.250 0.250 0.250
Pr 0.000 0.000 0.000
Cd 0.750 0.750 0.750

# 8
The following is a GGA-PBE calculation of crystalline PrCdAu at its relaxed geometry, from OQMD via LeMat-Bulk.

Results
- energy of formation (eV/f.u.) = -1.95
- raw total energy (eV/cell) = -32.66
- total moment (μB/f.u.) = 0.00
- symmetry = P-62m

a b c (Å): 7.995 7.995 4.033
angles (deg): 90.00 90.00 120.00
Sites, in units of the cell vectors:
Pr 0.000 0.404 0.000
Pr 0.404 0.000 0.000
Pr 0.596 0.596 0.000
Cd 0.258 0.258 0.500
Cd 0.000 0.742 0.500
Cd 0.742 0.000 0.500
Au 0.333 0.667 0.500
Au 0.000 0.000 0.000
Au 0.667 0.333 0.500